An optimized crystal structure of In2FeSbBr, computed with PBE-GGA.

Structure (POSCAR):
```
In2FeSbBr
1.0
-1.6780 -0.5857 5.0772
3.9564 -1.3554 1.1512
1.4310 5.0763 1.0585
Sb Br Fe In
1 1 1 2
Cartesian
1.8547 1.5676 3.6435
1.9782 -0.6777 0.5756
0.0000 0.0000 0.0000
0.7155 2.5381 0.5293
-0.8390 -0.2928 2.5386
```

Computed properties:
- E_form (uncorrected) (eV per atom) = 0.39
- energy above the most stable polymorph in this dataset (eV/atom) = 0.548
- spin magnetization (Bohr magnetons per cell) = 0.00

***

An optimized crystal structure of TaMnW3, computed with PBE-GGA.

Structure (POSCAR):
```
TaMnW3
1.0
-2.9120 2.3898 -2.8618
1.2688 -2.7793 -3.6120
-3.5059 -2.9909 1.0698
W Mn Ta
3 1 1
Cartesian
-1.4560 1.1949 -1.4309
-1.7529 -1.4954 0.5349
0.6344 -1.3896 -1.8060
-2.5746 -1.6902 -2.7020
0.0000 0.0000 0.0000
```

Computed properties:
- energy above the most stable polymorph in this dataset (eV/atom) = 1.512
- spin magnetization (Bohr magnetons per cell) = 0.08
- ΔE_f (eV per atom) = 2.7214

***

An optimized crystal structure of KRbBe2, computed with PBE-GGA.

Structure (POSCAR):
```
KRbBe2
1.0
-0.8642 -4.1768 0.6524
6.5509 -0.3012 3.8354
-7.5582 4.2825 5.9223
K Be Rb
2 4 2
Cartesian
-2.4345 -0.4646 5.0804
0.6165 1.8107 7.8133
0.9668 -0.3651 5.0675
2.2983 -1.5814 6.1709
2.7596 0.4891 5.7885
0.5715 -2.4681 5.3366
-1.1729 -3.3508 2.4428
3.2012 -1.7352 2.8770
```

Computed properties:
- energy above the most stable polymorph in this dataset (eV/atom) = 0.001
- spin magnetization (Bohr magnetons per cell) = 0.61
- ΔE_f (eV per atom) = 0.4693

***

An optimized crystal structure of KSnB, computed with PBE-GGA.

Structure (POSCAR):
```
KSnB
1.0
5.2533 0.0000 0.0000
0.0000 5.2533 0.0000
0.0000 0.0000 13.7227
B K Sn
4 4 4
Cartesian
3.8526 1.4007 1.7153
1.4007 1.4007 12.0074
1.4007 3.8526 8.5767
3.8526 3.8526 5.1460
0.0000 1.0534 6.8614
4.2000 0.0000 10.2920
0.0000 4.2000 0.0000
1.0534 0.0000 3.4307
3.5168 2.6267 3.4307
2.6267 3.5168 6.8614
2.6267 1.7365 0.0000
1.7365 2.6267 10.2920
```

Computed properties:
- spin magnetization (Bohr magnetons per cell) = 0.00
- ΔE_f (eV per atom) = 0.7451

***

An optimized crystal structure of Ga2SbMo2, computed with PBE-GGA.

Structure (POSCAR):
```
Ga2SbMo2
1.0
-3.0271 6.0017 -2.0541
-0.7220 -2.5872 -6.4953
-3.2004 -1.3134 0.8789
Ga Mo Sb
4 4 2
Cartesian
-2.7775 1.0913 -1.2354
-4.4415 3.5533 -3.6152
-4.1720 1.0097 -6.4350
-2.5081 -1.4523 -4.0552
-3.0473 3.4379 -5.9585
-1.6811 -0.0913 -6.2580
-2.0680 3.5058 -2.2913
-0.7019 -0.0235 -2.5909
0.0000 0.0000 0.0000
-1.8746 1.7072 -4.2747
```

Computed properties:
- E_form (uncorrected) (eV per atom) = 0.15
- spin magnetization (Bohr magnetons per cell) = 0.00

***

An optimized crystal structure of CaPu2PaAs4, computed with PBE-GGA.

Structure (POSCAR):
```
CaPu2PaAs4
1.0
-1.0459 -2.1905 3.3897
-2.4165 -5.3274 -4.1883
6.9544 -1.0496 1.4675
As Pu Pa Ca
4 2 1 1
Cartesian
0.6016 -2.6464 1.0394
4.6234 -2.0473 0.1035
-0.0855 -4.3296 -2.8243
2.8904 -5.9211 -0.3706
2.9542 -1.6200 2.4286
2.2689 -3.1885 -1.3604
0.0000 0.0000 0.0000
-1.7312 -3.7590 -0.3993
```

Computed properties:
- spin magnetization (Bohr magnetons per cell) = 0.41
- ΔE_f (eV per atom) = -1.0564

***

An optimized crystal structure of PrTmTl6, computed with PBE-GGA.

Structure (POSCAR):
```
PrTmTl6
1.0
-1.5229 4.5491 0.2491
-2.9114 -0.7697 -3.7426
-6.9991 -2.6714 5.9942
Tl Tm Pr
6 1 1
Cartesian
-2.5542 1.5903 1.6599
-3.2485 -1.0691 -0.3359
-5.7167 0.5540 1.2504
-2.2172 1.8897 -1.7467
-5.9678 0.2874 4.5834
-6.6621 -2.3720 2.5875
-3.4996 -1.3357 2.9971
0.0000 0.0000 0.0000
```

Computed properties:
- spin magnetization (Bohr magnetons per cell) = 0.00
- ΔE_f (eV per atom) = -0.2535

***

An optimized crystal structure of AlSnPb2, computed with PBE-GGA.

Structure (POSCAR):
```
AlSnPb2
1.0
-5.2203 1.2293 -3.6663
3.6621 -0.4065 -5.3505
-2.0915 -6.3158 -4.8955
Pb Sn Al
4 2 2
Cartesian
0.9867 -1.6495 -5.1152
-3.0209 -4.0070 -11.4315
-3.2011 -0.8913 -4.0952
-2.0640 -4.4382 -7.1828
0.0000 0.0000 0.0000
-4.0454 -2.3375 -6.5351
-0.7791 0.4114 -4.5084
0.3958 -3.1555 -7.3772
```

Computed properties:
- spin magnetization (Bohr magnetons per cell) = 0.00
- ΔE_f (eV per atom) = 0.2944